No. 1
An optimized crystal structure of PrEuSb. Source: Alexandria via LeMat-Bulk, functional PBE.

a b c (Å): 5.3381 5.3381 5.3381
angles (deg): 60.00 60.00 60.00
Last column: nearest neighbours and their distance in Å.
Atoms (fractional coordinates):
Pr 0.0000 0.0000 0.0000  4 Sb 3.27
Eu 0.5000 0.5000 0.5000  4 Sb 3.27
Sb 0.2500 0.2500 0.2500  4 Pr 3.27, 4 Eu 3.27

Uncorrected formation energy, eV per atom: -0.68
Energy relative to the lowest polymorph listed for this composition, eV per atom: 0.0012
Density of states at the Fermi level, states/eV per cell: 2.480
Space group: F-43m (216)
Magnetic moment, μB per cell: 8.0
Volume, Å³/atom: 35.852

=====

No. 2
An optimized crystal structure of Rb3Tb2CdSe6. Source: Alexandria via LeMat-Bulk, functional PBE.

a b c (Å): 7.3227 7.3227 8.4275
angles (deg): 98.31 98.31 119.97
Last column: nearest neighbours and their distance in Å.
Atoms (fractional coordinates):
Rb 0.8350 0.1650 0.5000  6 Se 3.45-3.46
Se 0.4014 0.0656 0.1966  2 Tb 2.90, 1 Cd 2.93
Se 0.2707 0.2707 0.8037  2 Tb 2.90, 1 Cd 2.93
Se 0.5986 0.9344 0.8034  2 Tb 2.90, 1 Cd 2.93
Rb 0.5000 0.5000 0.5000  6 Se 3.44-3.46
Tb 0.6669 0.3331 0.0000  6 Se 2.90
Cd 0.0000 0.0000 0.0000  6 Se 2.93
Se 0.7293 0.7293 0.1963  2 Tb 2.90, 1 Cd 2.93
Tb 0.3331 0.6669 0.0000  6 Se 2.90
Se 0.9344 0.5986 0.8034  2 Tb 2.90, 1 Cd 2.93
Se 0.0656 0.4014 0.1966  2 Tb 2.90, 1 Cd 2.93
Rb 0.1650 0.8350 0.5000  6 Se 3.45-3.46

Uncorrected formation energy, eV per atom: -1.33
Density of states at the Fermi level, states/eV per cell: 11.995
Space group: C2/m (12)
Magnetic moment, μB per cell: 0.0
Volume, Å³/atom: 31.231

=====

No. 3
An optimized crystal structure of YTh2Mg6. Source: Alexandria via LeMat-Bulk, functional PBE.

a b c (Å): 3.3234 9.1125 9.1125
angles (deg): 60.00 89.99 89.99
Last column: nearest neighbours and their distance in Å.
Atoms (fractional coordinates):
Mg 0.5000 0.3315 0.6685  5 Mg 3.02-3.32
Th 0.0000 0.6667 0.6667  2 Th 3.32, 12 Mg 3.47
Mg 0.4991 0.6685 0.0000  5 Mg 3.02-3.32
Mg 0.5009 0.3315 0.0000  5 Mg 3.02-3.32
Th 0.0000 0.3333 0.3333  2 Th 3.32, 12 Mg 3.47
Y 0.0000 0.0000 0.0000  2 Y 3.32, 12 Mg 3.45
Mg 0.5009 0.0000 0.3315  5 Mg 3.02-3.32
Mg 0.4991 0.0000 0.6685  5 Mg 3.02-3.32
Mg 0.5000 0.6685 0.3315  5 Mg 3.02-3.32

ΔH_f (0 K), meV per atom: -10.0
Density of states at the Fermi level, states/eV per cell: 6.629
Space group: P6/mmm (191)
Magnetic moment, μB per cell: 0.0
Volume, Å³/atom: 26.554

=====

No. 4
An optimized crystal structure of TaC3I. Source: Alexandria via LeMat-Bulk, functional PBE.

a b c (Å): 4.0409 4.0409 4.0409
angles (deg): 90.00 90.00 90.00
Last column: nearest neighbours and their distance in Å.
Atoms (fractional coordinates):
Ta 0.5000 0.5000 0.5000  12 C 2.86
C 0.0000 0.5000 0.0000  2 I 2.02
I 0.0000 0.0000 0.0000  6 C 2.02
C 0.5000 0.0000 0.0000  2 I 2.02
C 0.0000 0.0000 0.5000  2 I 2.02

Uncorrected formation energy, eV per atom: 3.18
Energy relative to the lowest polymorph listed for this composition, eV per atom: 1.0311
Density of states at the Fermi level, states/eV per cell: 2.876
Space group: Pm-3m (221)
Magnetic moment, μB per cell: 0.0
Volume, Å³/atom: 13.196

=====

No. 5
An optimized crystal structure of LiHf2PbI. Source: Alexandria via LeMat-Bulk, functional PBE.

a b c (Å): 5.3219 4.6816 5.3219
angles (deg): 90.00 90.00 90.00
Last column: nearest neighbours and their distance in Å.
Atoms (fractional coordinates):
Pb 0.5000 0.5000 0.5000  8 Hf 3.54, 4 Li 3.76
Li 0.0000 0.5000 0.0000  2 I 2.34
Hf 0.0000 0.0000 0.5000  2 I 2.66
Hf 0.5000 0.0000 0.0000  2 I 2.66
I 0.0000 0.0000 0.0000  2 Li 2.34

Uncorrected formation energy, eV per atom: 0.74
Density of states at the Fermi level, states/eV per cell: 3.467
Space group: P4/mmm (123)
Magnetic moment, μB per cell: 0.0
Volume, Å³/atom: 26.519

=====

No. 6
An optimized crystal structure of Li5Mg6Au. Source: Alexandria via LeMat-Bulk, functional PBE.

a b c (Å): 4.7089 6.9037 7.4742
angles (deg): 90.00 71.64 90.00
Last column: nearest neighbours and their distance in Å.
Atoms (fractional coordinates):
Mg 0.8369 0.2433 0.3263  1 Au 2.86, 7 Li 2.89-2.96
Mg 0.1631 0.7567 0.6737  1 Au 2.86, 7 Li 2.89-2.96
Mg 0.8369 0.7567 0.3263  1 Au 2.86, 7 Li 2.89-2.96
Mg 0.1631 0.2433 0.6737  1 Au 2.86, 7 Li 2.89-2.96
Mg 0.5000 0.7596 0.0000  6 Li 2.87-3.02, 2 Au 2.88
Au 0.0000 0.0000 0.0000  8 Mg 2.86-2.88
Li 0.3348 0.0000 0.3304  8 Mg 2.87-2.96
Li 0.6716 0.5000 0.6569  8 Mg 2.94-3.02, 2 Li 3.24
Li 0.6652 0.0000 0.6696  8 Mg 2.87-2.96
Mg 0.5000 0.2404 0.0000  6 Li 2.87-3.02, 2 Au 2.88
Li 0.3284 0.5000 0.3431  8 Mg 2.94-3.02, 2 Li 3.24
Li 0.0000 0.5000 0.0000  8 Mg 2.92-2.96

ΔH_f (0 K), meV per atom: -185.0
Density of states at the Fermi level, states/eV per cell: 4.587
Space group: Cmmm (65)
Magnetic moment, μB per cell: 0.0
Volume, Å³/atom: 19.217